Material: WO2
Method: DFT, PBE+U
State: optimized geometry

It has space group Pnma (No. 62), with a = 10.9088 Å, b = 8.4226 Å, c = 4.8250 Å, α = 90.00°, β = 90.00° and γ = 90.00°. The distinct sites, in fractional coordinates, are W at (0.0971, 0.2500, 0.0195), W at (0.1354, 0.5912, 0.5076), O at (0.0292, 0.0836, 0.2866), O at (0.0603, 0.7500, 0.2350), O at (0.1962, 0.0765, 0.8000) and O at (0.2398, 0.7500, 0.7423).

The value obtained for the total DFT energy (no corrections) is -7.52 eV per atom. The total magnetic moment comes out at 16.0 μB/cell.